Entry from Alexandria: crystalline MgMoF3 at its relaxed geometry (GGA+U).

total DFT energy (no corrections)	-25.40	eV/cell

Cell lengths 4.057, 4.057, 4.057 Å; angles 90.00, 90.00, 90.00 degrees
Positions (direct):
1 Mg 0.000 0.000 0.000
2 Mo 0.500 0.500 0.500
3 F 0.000 0.000 0.500
4 F 0.000 0.500 0.000
5 F 0.500 0.000 0.000